Record 1
VASP calculation (PBE-GGA) on Mn2RhCl after structural relaxation.

Unit cell a=3.081 b=3.176 c=14.515 alpha=90.00 beta=90.00 gamma=90.00
Space group Imm2 (No. 44)
Symmetry-distinct sites (fractional):
Mn 0.000 0.000 0.000 [2 per cell]
Mn 0.000 0.500 0.270 [2 per cell]
Rh 0.000 0.000 0.407 [2 per cell]
Cl 0.000 0.500 0.658 [2 per cell]

The value obtained for the magnetization is 18.4 μB per cell. As for the uncorrected formation energy: 0.086 eV/atom.

=====

Record 2
VASP calculation (PBE-GGA) on MnRhCl6 after structural relaxation.

Unit cell a=6.591 b=11.424 c=5.976 alpha=90.00 beta=90.55 gamma=90.00
Space group C2/m (No. 12)
Symmetry-distinct sites (fractional):
Mn 0.000 0.000 0.000 [2 per cell]
Rh 0.000 0.000 0.500 [2 per cell]
Cl 0.140 0.140 0.747 [8 per cell]
Cl 0.219 0.500 0.742 [4 per cell]

The value obtained for the magnetization is 8.0 μB per cell. As for the uncorrected formation energy: -0.763 eV/atom.